Ca2Mo2I2O5 after structural relaxation. Source: the Alexandria database, functional PBE with a Hubbard U.

Results
crystal system: tetragonal
DFT total energy: -6.0370 eV per atom
M_tot: 4.000 Bohr magnetons per cell

The structure in POSCAR format:
```
Ca2Mo2I2O5
1.0
-1.7587 0.0659 3.6689
3.0935 -2.1618 1.5217
6.2113 13.0603 0.4864
Ca O I Mo
2 5 2 2
direct
0.6255 0.6255 0.2510
0.3745 0.3745 0.7490
0.0000 0.0000 0.0000
0.9176 0.4176 0.8353
0.0824 0.5824 0.1647
0.4176 0.9176 0.8353
0.5824 0.0824 0.1647
0.8160 0.8160 0.6319
0.1840 0.1840 0.3681
0.0662 0.0662 0.1323
0.9338 0.9338 0.8677
```